Density functional theory data (PBE) for CeAlTlHg after structural relaxation.

Cell and atoms, written as POSCAR:
```
CeAlTlHg
1.0
0.000 3.661 3.661
3.661 0.000 3.661
3.661 3.661 0.000
Ce Al Tl Hg
1 1 1 1
Cartesian
0.000 0.000 0.000
3.661 3.661 3.661
5.492 5.492 5.492
1.831 1.831 1.831
```

The uncorrected energy comes out at -13.0 eV for the cell shown.